Density functional theory data (PBE-GGA) for a relaxed structure of MgAl3Co.

```
MgAl3Co
1.0
-2.427 -1.348 -4.104
7.466 -3.482 -3.272
-1.951 -6.405 3.257
Mg Al Co
4 12 4
direct
0.040 0.794 0.384 Mg
0.960 0.206 0.616 Mg
0.540 0.706 0.616 Mg
0.460 0.294 0.384 Mg
0.862 0.639 0.993 Al
0.138 0.361 0.007 Al
0.362 0.861 0.007 Al
0.638 0.139 0.993 Al
0.454 0.616 0.238 Al
0.546 0.384 0.762 Al
0.954 0.884 0.762 Al
0.046 0.116 0.238 Al
0.938 0.456 0.337 Al
0.062 0.544 0.663 Al
0.438 0.044 0.663 Al
0.562 0.956 0.337 Al
0.653 0.404 0.087 Co
0.347 0.596 0.913 Co
0.153 0.096 0.913 Co
0.847 0.904 0.087 Co
```

Output
The calculation puts the energy above the lowest structure with this stoichiometry at 86 meV per atom. The space group is No. 14. The density of states at the Fermi level is 7.76 states/eV/cell.


Density functional theory data (PBE-GGA) for a relaxed structure of CrN2.

```
CrN2
1.0
3.330 0.000 0.000
1.665 2.884 0.000
1.665 0.961 2.719
Cr N
1 2
direct
0.000 0.000 0.000 Cr
0.750 0.750 0.750 N
0.250 0.250 0.250 N
```

Output
For the formation energy without anion corrections, the calculation gives 703 meV/atom. The space group is No. 225. The density of states at the Fermi level is 2.61 states/eV/cell.


Density functional theory data (PBE-GGA) for a relaxed structure of PaSn2Rh8.

```
PaSn2Rh8
1.0
-2.121 -1.619 3.125
-2.481 -4.368 -3.947
7.143 -1.862 1.182
Pa Sn Rh
1 2 8
direct
0.500 0.000 0.000 Pa
0.782 0.338 0.564 Sn
0.218 0.662 0.436 Sn
0.409 0.537 0.819 Rh
0.675 0.921 0.349 Rh
0.859 0.795 0.717 Rh
0.961 0.276 0.921 Rh
0.141 0.205 0.283 Rh
0.325 0.079 0.651 Rh
0.591 0.463 0.181 Rh
0.039 0.724 0.079 Rh
```

Output
The space group is No. 12. As for the total energy: -7.378 eV per atom. The density of states at the Fermi level is 10.20 states/eV/cell.


Density functional theory data (PBE-GGA) for a relaxed structure of K4Ir3RhS8.

```
K4Ir3RhS8
1.0
-5.835 -4.119 2.222
1.512 -5.278 -5.813
5.507 1.585 4.809
K Ir Rh S
4 3 1 8
direct
0.500 0.000 0.000 K
0.500 0.000 0.500 K
0.000 0.000 0.000 K
0.000 0.000 0.500 K
0.500 0.500 0.000 Ir
0.500 0.500 0.500 Ir
0.000 0.500 0.500 Ir
0.000 0.500 0.000 Rh
0.222 0.665 0.943 S
0.222 0.665 0.444 S
0.279 0.336 0.557 S
0.721 0.665 0.943 S
0.279 0.335 0.057 S
0.721 0.664 0.443 S
0.778 0.335 0.556 S
0.778 0.335 0.057 S
```

Output
For the formation energy without anion corrections, the calculation gives -715 meV/atom. The space group is No. 166.


Density functional theory data (PBE-GGA) for a relaxed structure of LiTb2Ga6.

```
LiTb2Ga6
1.0
3.487 -0.001 0.000
0.000 6.668 3.834
-0.001 0.013 7.692
Li Tb Ga
1 2 6
direct
0.000 0.000 0.000 Li
0.000 0.333 0.333 Tb
0.000 0.667 0.667 Tb
0.500 0.671 0.000 Ga
0.500 0.000 0.329 Ga
0.500 0.329 0.000 Ga
0.500 0.671 0.329 Ga
0.500 0.000 0.671 Ga
0.500 0.329 0.671 Ga
```

Output
The calculation puts the energy above the lowest structure with this stoichiometry at 0 meV per atom. The space group is No. 191. The density of states at the Fermi level is 3.20 states/eV/cell.


Density functional theory data (PBE-GGA) for a relaxed structure of HfSc2Ni.

```
HfSc2Ni
1.0
-3.756 -2.063 -2.151
-4.180 -0.378 2.318
-3.745 2.666 -1.361
Sc Ni Hf
2 1 1
direct
0.250 0.250 0.250 Sc
0.750 0.750 0.750 Sc
0.000 0.000 0.000 Ni
0.500 0.500 0.500 Hf
```

Output
The calculation puts the energy above the lowest structure with this stoichiometry at 403 meV per atom. The space group is No. 225. The density of states at the Fermi level is 5.56 states/eV/cell.


Density functional theory data (PBE-GGA) for a relaxed structure of Th8Tc3Te4Au.

```
Th8Tc3Te4Au
1.0
8.451 0.000 0.000
0.000 9.105 0.453
-4.226 -4.220 5.980
Th Tc Te Au
8 3 4 1
direct
0.243 0.702 0.959 Th
0.242 0.702 0.485 Th
0.265 0.296 0.531 Th
0.717 0.702 0.959 Th
0.283 0.298 0.041 Th
0.735 0.704 0.469 Th
0.758 0.298 0.515 Th
0.757 0.298 0.041 Th
0.500 0.500 0.000 Tc
0.500 0.500 0.500 Tc
0.000 0.500 0.500 Tc
0.500 0.000 0.000 Te
0.500 0.000 0.500 Te
0.000 0.000 0.000 Te
0.000 0.000 0.500 Te
0.000 0.500 0.000 Au
```

Output
For the formation energy without anion corrections, the calculation gives -700 meV/atom. The space group is No. 166. The density of states at the Fermi level is 8.07 states/eV/cell.


Density functional theory data (PBE-GGA) for a relaxed structure of Tl2CuN2.

```
Tl2CuN2
1.0
6.589 0.000 0.000
0.000 6.589 0.000
0.000 0.000 3.700
Tl Cu N
4 2 4
direct
0.148 0.648 0.500 Tl
0.648 0.852 0.500 Tl
0.852 0.352 0.500 Tl
0.352 0.148 0.500 Tl
0.000 0.000 0.000 Cu
0.500 0.500 0.000 Cu
0.288 0.788 0.000 N
0.788 0.712 0.000 N
0.712 0.212 0.000 N
0.212 0.288 0.000 N
```

Output
The calculation puts the energy above the lowest structure with this stoichiometry at 710 meV per atom. For the formation energy without anion corrections, the calculation gives 1201 meV/atom. The space group is No. 127. The density of states at the Fermi level is 5.73 states/eV/cell.


Density per entry: 3.34, 5.09, 11.96, 5.56, 6.91, 6.97, 9.96, 10.35 g/cm³